# ZnCrTeF2 (GGA+U, relaxed)
data_ZnCrTeF2
_cell_length_a 3.971
_cell_length_b 3.971
_cell_length_c 6.216
_cell_angle_alpha 90.00
_cell_angle_beta 90.00
_cell_angle_gamma 90.00
_symmetry_space_group_name_H-M 'P 1'
_symmetry_Int_Tables_number 1
_symmetry_space_group_name_Hall 'P 1'
loop_
_atom_site_label
_atom_site_fract_x
_atom_site_fract_y
_atom_site_fract_z
Te1 0.000 0.000 0.500
F1 0.000 0.500 0.000
F2 0.500 0.000 0.000
Zn1 0.500 0.500 0.500
Cr1 0.000 0.000 0.000
# **D(E_F)**: 2.39 states/eV/f.u.
# **SG**: No. 123
# **VASP energy**: -4.65 eV/atom
# **Spin magnetization**: 3.674 μB per cell